No. 1
Below is Ac2PmSn after structural relaxation, with properties calculated at the PBE level.

Its space group is Fm-3m, No. 225. For the density of states at the Fermi level, the calculation gives 5.70 states/eV/f.u. The value obtained for the energy above the most stable polymorph in this dataset is 187 meV per atom.

Cell and atoms, written as POSCAR:
```
Ac2PmSn
1.0
8.326 0.000 0.000
0.000 8.326 0.000
0.000 0.000 8.326
Ac Pm Sn
8 4 4
direct
0.250 0.250 0.250
0.250 0.250 0.750
0.250 0.750 0.250
0.250 0.750 0.750
0.750 0.250 0.250
0.750 0.250 0.750
0.750 0.750 0.250
0.750 0.750 0.750
0.000 0.000 0.000
0.000 0.500 0.500
0.500 0.000 0.500
0.500 0.500 0.000
0.000 0.000 0.500
0.000 0.500 0.000
0.500 0.000 0.000
0.500 0.500 0.500
```

No. 2
Below is AcPm6Sn4 after structural relaxation, with properties calculated at the PBE level.

Its space group is I-42m, No. 121. For the density of states at the Fermi level, the calculation gives 12.65 states/eV/f.u.

Cell and atoms, written as POSCAR:
```
AcPm6Sn4
1.0
-4.116 4.116 5.905
4.116 -4.116 5.905
4.116 4.116 -5.905
Ac Pm Sn
1 6 4
direct
0.000 0.000 0.000
0.000 0.500 0.500
0.170 0.170 0.686
0.484 0.484 0.314
0.500 0.000 0.500
0.516 0.830 0.000
0.830 0.516 0.000
0.190 0.621 0.000
0.379 0.379 0.569
0.621 0.190 0.000
0.810 0.810 0.431
```

No. 3
Below is AcPmSn3 after structural relaxation, with properties calculated at the PBE level.

Its space group is C2/m, No. 12. For the density of states at the Fermi level, the calculation gives 4.29 states/eV/f.u.

Cell and atoms, written as POSCAR:
```
AcPmSn3
1.0
6.410 -3.700 0.000
6.410 3.700 0.000
-0.008 0.000 6.813
Ac Pm Sn
2 2 6
direct
0.167 0.167 0.250
0.833 0.833 0.750
0.500 0.500 0.000
0.500 0.500 0.500
0.095 0.703 0.250
0.297 0.297 0.750
0.297 0.905 0.750
0.703 0.095 0.250
0.703 0.703 0.250
0.905 0.297 0.750
```

No. 4
Below is Ac2PmSn after structural relaxation, with properties calculated at the PBE level.

Its space group is C2/c, No. 15. For the density of states at the Fermi level, the calculation gives 5.01 states/eV/f.u. The value obtained for the energy above the most stable polymorph in this dataset is 66 meV per atom.

Cell and atoms, written as POSCAR:
```
Ac2PmSn
1.0
12.322 0.000 0.000
0.000 6.741 0.000
-1.967 0.000 7.064
Ac Pm Sn
8 4 4
direct
0.222 0.012 0.104
0.222 0.988 0.604
0.278 0.488 0.896
0.278 0.512 0.396
0.722 0.488 0.604
0.722 0.512 0.104
0.778 0.012 0.396
0.778 0.988 0.896
0.000 0.302 0.250
0.000 0.698 0.750
0.500 0.198 0.750
0.500 0.802 0.250
0.000 0.216 0.750
0.000 0.784 0.250
0.500 0.284 0.250
0.500 0.716 0.750
```

No. 5
Below is Ac5PmSn2 after structural relaxation, with properties calculated at the PBE level.

Its space group is Cmcm, No. 63. For the density of states at the Fermi level, the calculation gives 9.54 states/eV/f.u.

Cell and atoms, written as POSCAR:
```
Ac5PmSn2
1.0
2.304 -6.508 0.000
2.304 6.508 0.000
0.000 0.000 20.747
Ac Pm Sn
10 2 4
direct
0.044 0.956 0.615
0.044 0.956 0.885
0.356 0.644 0.526
0.356 0.644 0.974
0.409 0.591 0.250
0.591 0.409 0.750
0.644 0.356 0.026
0.644 0.356 0.474
0.956 0.044 0.115
0.956 0.044 0.385
0.308 0.692 0.750
0.692 0.308 0.250
0.238 0.762 0.134
0.238 0.762 0.366
0.762 0.238 0.634
0.762 0.238 0.866
```

No. 6
Below is Ac4PmSn4 after structural relaxation, with properties calculated at the PBE level.

Its space group is P4_2/n, No. 86. For the density of states at the Fermi level, the calculation gives 8.07 states/eV/f.u.

Cell and atoms, written as POSCAR:
```
Ac4PmSn4
1.0
9.970 0.000 0.000
0.000 9.970 0.000
0.000 0.000 6.849
Ac Pm Sn
8 2 8
direct
0.038 0.673 0.113
0.173 0.962 0.613
0.327 0.538 0.613
0.462 0.827 0.113
0.538 0.173 0.887
0.673 0.462 0.387
0.827 0.038 0.387
0.962 0.327 0.887
0.250 0.250 0.250
0.750 0.750 0.750
0.013 0.640 0.603
0.140 0.987 0.103
0.360 0.513 0.103
0.487 0.860 0.603
0.513 0.140 0.397
0.640 0.487 0.897
0.860 0.013 0.897
0.987 0.360 0.397
```

No. 7
Below is AcPm5Sn2 after structural relaxation, with properties calculated at the PBE level.

Its space group is Immm, No. 71. For the density of states at the Fermi level, the calculation gives 12.23 states/eV/f.u.

Cell and atoms, written as POSCAR:
```
AcPm5Sn2
1.0
4.765 0.000 0.000
0.000 9.926 0.000
0.000 0.000 11.670
Ac Pm Sn
2 10 4
direct
0.000 0.000 0.000
0.500 0.500 0.500
0.000 0.186 0.344
0.000 0.186 0.656
0.000 0.500 0.000
0.000 0.814 0.344
0.000 0.814 0.656
0.500 0.000 0.500
0.500 0.314 0.156
0.500 0.314 0.844
0.500 0.686 0.156
0.500 0.686 0.844
0.000 0.500 0.282
0.000 0.500 0.718
0.500 0.000 0.218
0.500 0.000 0.782
```

No. 8
Below is AcPmSn2 after structural relaxation, with properties calculated at the PBE level.

Its space group is P2/m, No. 10. For the density of states at the Fermi level, the calculation gives 3.43 states/eV/f.u. The value obtained for the energy above the most stable polymorph in this dataset is 63 meV per atom.

Cell and atoms, written as POSCAR:
```
AcPmSn2
1.0
3.761 0.000 0.000
0.000 4.525 0.000
-0.026 0.000 7.276
Ac Pm Sn
1 1 2
direct
0.000 0.000 0.000
0.000 0.000 0.500
0.499 0.500 0.278
0.501 0.500 0.722
```

No. 9
Below is AcPm2Sn3 after structural relaxation, with properties calculated at the PBE level.

Its space group is Cmcm, No. 63. For the density of states at the Fermi level, the calculation gives 4.30 states/eV/f.u.

Cell and atoms, written as POSCAR:
```
AcPm2Sn3
1.0
6.477 -4.396 0.000
6.477 4.396 0.000
0.000 0.000 6.811
Ac Pm Sn
2 4 6
direct
0.155 0.845 0.750
0.845 0.155 0.250
0.286 0.286 0.000
0.286 0.286 0.500
0.714 0.714 0.000
0.714 0.714 0.500
0.067 0.679 0.250
0.321 0.933 0.250
0.476 0.524 0.250
0.524 0.476 0.750
0.679 0.067 0.750
0.933 0.321 0.750
```

No. 10
Below is Ac4PmSn after structural relaxation, with properties calculated at the PBE level.

Its space group is Cmc2_1, No. 36. For the density of states at the Fermi level, the calculation gives 8.21 states/eV/f.u.

Cell and atoms, written as POSCAR:
```
Ac4PmSn
1.0
3.113 -12.084 0.000
3.113 12.084 0.000
0.000 0.000 7.351
Ac Pm Sn
8 2 2
direct
0.058 0.942 0.500
0.201 0.799 0.738
0.202 0.798 0.248
0.372 0.628 0.488
0.628 0.372 0.988
0.798 0.202 0.748
0.799 0.201 0.238
0.942 0.058 0.000
0.334 0.666 0.991
0.666 0.334 0.491
0.078 0.922 0.000
0.922 0.078 0.500
```

No. 11
Below is AcPmSn after structural relaxation, with properties calculated at the PBE level.

Its space group is F-43m, No. 216. For the density of states at the Fermi level, the calculation gives 3.99 states/eV/f.u. The value obtained for the energy above the most stable polymorph in this dataset is 183 meV per atom.

Cell and atoms, written as POSCAR:
```
AcPmSn
1.0
7.719 0.000 0.000
0.000 7.719 0.000
0.000 0.000 7.719
Ac Pm Sn
4 4 4
direct
0.000 0.000 0.000
0.000 0.500 0.500
0.500 0.000 0.500
0.500 0.500 0.000
0.000 0.000 0.500
0.000 0.500 0.000
0.500 0.000 0.000
0.500 0.500 0.500
0.250 0.250 0.250
0.250 0.750 0.750
0.750 0.250 0.750
0.750 0.750 0.250
```

No. 12
Below is AcPm5Sn4 after structural relaxation, with properties calculated at the PBE level.

Its space group is P4/mmm, No. 123. For the density of states at the Fermi level, the calculation gives 13.38 states/eV/f.u.

Cell and atoms, written as POSCAR:
```
AcPm5Sn4
1.0
4.105 0.000 0.000
0.000 4.105 0.000
0.000 0.000 18.081
Ac Pm Sn
1 5 4
direct
0.000 0.000 0.000
0.500 0.500 0.131
0.500 0.500 0.312
0.500 0.500 0.500
0.500 0.500 0.688
0.500 0.500 0.869
0.000 0.000 0.215
0.000 0.000 0.405
0.000 0.000 0.595
0.000 0.000 0.785
```

Number 1: calculated formation energy -0.7 eV/f.u.. Number 2: calculated formation energy -4.3 eV/f.u.. Number 3: calculated formation energy -2.7 eV/f.u.. Number 4: calculated formation energy -1.1 eV/f.u.. Number 5: calculated formation energy -2.2 eV/f.u.. Number 6: calculated formation energy -4.5 eV/f.u.. Number 7: calculated formation energy -2.7 eV/f.u.. Number 8: calculated formation energy -2.6 eV/f.u.. Number 9: calculated formation energy -3.6 eV/f.u.. Number 10: calculated formation energy 0.1 eV/f.u.. Number 11: calculated formation energy -1.1 eV/f.u.. Number 12: calculated formation energy -5.1 eV/f.u..